(1)
ScBe5Pt6, optimized geometry, DFT GGA-PBE; ΔE_f = -775 meV/atom; space-group type = P2/m
1.0
3.8816 0.0015 -0.8049
-0.0026 6.4838 -0.0006
-0.7187 0.0003 6.2427
Be Pt Sc
5 6 1
direct
0.3192 0.0000 0.6372 Be
0.0000 0.5000 0.0000 Be
0.6637 0.5000 0.3258 Be
0.3363 0.5000 0.6742 Be
0.6808 0.0000 0.3628 Be
0.1708 0.2694 0.3414 Pt
0.5000 0.7214 0.0000 Pt
0.1708 0.7306 0.3414 Pt
0.5000 0.2786 0.0000 Pt
0.8292 0.2694 0.6586 Pt
0.8292 0.7306 0.6586 Pt
0.0000 0.0000 0.0000 Sc

---

(2)
CoTeRuI2, optimized geometry, DFT GGA-PBE; excess energy over the best structure of this formula in the dataset = 0 meV per atom; space-group type = P4/mmm; ΔE_f (raw) = 0.98 eV per atom
1.0
-5.1710 -1.9567 0.5465
1.9382 -5.1994 -0.2766
0.5474 -0.0600 4.9652
Ru Co I Te
1 1 2 1
direct
0.0000 0.0000 0.0000 Ru
0.5000 0.5000 0.5000 Co
0.0000 0.5000 0.0000 I
0.5000 0.0000 0.0000 I
0.0000 0.0000 0.5000 Te

---

(3)
PaGaAg, optimized geometry, DFT GGA-PBE; ΔE_f = 126 meV/atom; space-group type = R-3m
1.0
4.3720 0.0000 0.0000
2.1860 3.7863 0.0000
2.1860 1.2621 7.4761
Ag Pa Ga
2 2 2
direct
0.3628 0.3628 0.9117 Ag
0.6372 0.6372 0.0883 Ag
0.8045 0.8045 0.5866 Pa
0.1955 0.1955 0.4134 Pa
0.0613 0.0613 0.8161 Ga
0.9387 0.9387 0.1839 Ga

---

no.,total moment (μB/cell),calculated total energy (eV per cell)
1,0.00,-70.51
2,2.43,-17.75
3,0.00,-29.99